VASP calculation (PBE-GGA) on an optimized crystal structure of ThSiIr3.

```
data_ThSiIr3
_chemical_formula_sum 'Th2 Si2 Ir6'
_space_group_name_H-M_alt 'C m m m'
_space_group_IT_number 65
_space_group_name_Hall '-C 2 2'
_cell_length_a 5.855
_cell_length_b 7.218
_cell_length_c 4.485
_cell_angle_alpha 90.00
_cell_angle_beta 90.00
_cell_angle_gamma 90.00
loop_
_atom_site_label
_atom_site_fract_x
_atom_site_fract_y
_atom_site_fract_z
_atom_site_occupancy
Th1 0.000 0.000 0.000 1
Si1 0.000 0.500 0.500 1
Ir1 0.000 0.500 0.000 1
Ir2 0.250 0.250 0.500 1
```

Results
Size of the total moment, Bohr magnetons per cell: 0.0
Relative energy among the computed polymorphs, meV/atom: 448
Total DFT energy (no corrections), eV/atom: -8.29
Formation energy (no corrections), eV per formula unit: -2.04